(1)
Computed, not measured: crystalline LuTlZnS3 at its relaxed geometry at the PBE-GGA level of DFT.

```
LuTlZnS3
1.0
8.108 -1.985 0.000
8.108 1.985 0.000
-2.019 0.000 8.584
S Lu Zn Tl
6 2 2 2
direct
0.500 0.500 0.500
0.653 0.653 0.274
0.662 0.662 0.870
0.338 0.338 0.130
0.347 0.347 0.726
0.000 0.000 0.000
0.168 0.168 0.085
0.832 0.832 0.915
0.498 0.498 0.782
0.502 0.502 0.218
0.144 0.144 0.561
0.856 0.856 0.439
```

Results
* ρ: 6.50 g/cm3
* energy above the most stable polymorph in this dataset: 141.9 meV/atom
* space group: C2/m, No. 12


(2)
Computed, not measured: crystalline Cs2Hg3Te4 at its relaxed geometry at the PBE-GGA level of DFT.

```
Cs2Hg3Te4
1.0
-3.460 6.672 7.728
3.460 -6.672 7.728
3.460 6.672 -7.728
Cs Hg Te
4 6 8
direct
0.621 0.225 0.845
0.379 0.775 0.155
0.121 0.275 0.396
0.879 0.725 0.604
0.543 0.250 0.293
0.957 0.250 0.707
0.457 0.750 0.707
0.043 0.750 0.293
0.750 0.750 0.000
0.250 0.250 0.000
0.506 0.420 0.649
0.006 0.357 0.086
0.771 0.857 0.351
0.994 0.643 0.914
0.729 0.080 0.086
0.271 0.920 0.914
0.494 0.580 0.351
0.229 0.143 0.649
```

Results
* ρ: 6.41 g/cm3
* VASP energy: -2.207 eV/atom
* space group: Ibam, No. 72


(3)
Computed, not measured: crystalline MgTc at its relaxed geometry at the PBE-GGA level of DFT.

```
MgTc
1.0
-3.091 -5.494 -13.726
-0.827 -5.156 2.251
-4.398 0.969 0.603
Mg Tc
12 12
direct
0.607 0.693 0.500
0.097 0.587 0.500
0.597 0.163 0.500
0.848 0.163 0.000
0.837 0.693 0.000
0.107 0.057 0.500
0.348 0.587 0.000
0.783 0.440 0.500
0.161 0.310 0.000
0.337 0.057 0.000
0.283 0.310 0.500
0.661 0.440 0.000
0.451 0.468 0.500
0.273 0.806 0.500
0.430 0.945 0.500
0.672 0.944 0.000
0.493 0.282 0.000
0.951 0.282 0.500
0.773 0.943 0.500
0.993 0.468 0.000
0.514 0.805 0.000
0.930 0.805 0.500
0.014 0.945 0.000
0.172 0.807 0.000
```

Results
* ρ: 6.25 g/cm3
* energy above the most stable polymorph in this dataset: 210.2 meV/atom
* space group: Pbcm, No. 57


(4)
Computed, not measured: crystalline Y2Al4PtAu at its relaxed geometry at the PBE-GGA level of DFT.

```
Y2Al4PtAu
1.0
-0.334 0.141 -6.862
0.628 -5.555 -0.145
-3.547 -4.323 0.084
Al Y Au Pt
4 2 1 1
direct
0.202 0.363 0.363
0.798 0.363 0.363
0.307 0.637 0.637
0.693 0.637 0.637
0.500 0.926 0.926
0.000 0.075 0.075
0.000 0.790 0.790
0.500 0.209 0.209
```

Results
* ρ: 7.30 g/cm3
* VASP energy: -5.502 eV/atom
* space group: Amm2, No. 38


(5)
Computed, not measured: crystalline PrDyAl2Ni4 at its relaxed geometry at the PBE-GGA level of DFT.

```
PrDyAl2Ni4
1.0
4.165 0.000 0.000
-2.082 3.607 0.000
0.000 0.000 9.213
Ni Pr Dy Al
4 1 1 2
direct
0.000 0.000 0.296
0.000 0.000 0.704
0.667 0.333 0.182
0.667 0.333 0.818
0.667 0.333 0.500
0.000 0.000 0.000
0.333 0.667 0.239
0.333 0.667 0.761
```

Results
* ρ: 7.10 g/cm3
* VASP energy: -5.440 eV/atom
* space group: P-6m2, No. 187


(6)
Computed, not measured: crystalline NaFeAgOs at its relaxed geometry at the PBE-GGA level of DFT.

```
NaFeAgOs
1.0
0.000 3.189 3.189
3.189 0.000 3.189
3.189 3.189 0.000
Na Fe Ag Os
1 1 1 1
direct
0.750 0.750 0.750
0.500 0.500 0.500
0.250 0.250 0.250
0.000 0.000 0.000
```

Results
* ρ: 9.65 g/cm3
* energy above the most stable polymorph in this dataset: 321.2 meV/atom
* space group: F-43m, No. 216


(7)
Computed, not measured: crystalline TbSeO3F at its relaxed geometry at the PBE-GGA level of DFT.

```
TbSeO3F
1.0
-3.596 4.988 -2.297
-3.373 0.272 5.871
5.373 3.602 2.920
O Se Tb F
12 4 4 4
direct
0.821 0.301 0.211
0.489 0.308 0.866
0.179 0.801 0.289
0.823 0.960 0.352
0.821 0.199 0.711
0.823 0.540 0.852
0.511 0.808 0.634
0.489 0.192 0.366
0.177 0.040 0.648
0.511 0.692 0.134
0.179 0.699 0.789
0.177 0.460 0.148
0.361 0.886 0.793
0.361 0.614 0.293
0.639 0.386 0.707
0.639 0.114 0.207
0.138 0.359 0.823
0.138 0.141 0.323
0.862 0.859 0.677
0.862 0.641 0.177
0.177 0.100 0.021
0.823 0.600 0.479
0.177 0.400 0.521
0.823 0.900 0.979
```

Results
* ρ: 6.51 g/cm3
* energy above the most stable polymorph in this dataset: 5.9 meV/atom
* space group: P2_1/c, No. 14


(8)
Computed, not measured: crystalline ZrSbPb at its relaxed geometry at the PBE-GGA level of DFT.

```
ZrSbPb
1.0
2.511 1.450 4.100
-2.511 1.450 4.100
0.000 -2.899 4.100
Zr Pb Sb
1 1 1
direct
0.750 0.750 0.750
0.250 0.250 0.250
0.000 0.000 0.000
```

Results
* ρ: 7.79 g/cm3
* energy above the most stable polymorph in this dataset: 0.0 meV/atom
* space group: F-43m, No. 216


(9)
Computed, not measured: crystalline Hf2Mo4C3S3 at its relaxed geometry at the PBE-GGA level of DFT.

```
Hf2Mo4C3S3
1.0
4.909 -2.833 0.000
4.909 2.833 0.000
-3.290 0.000 11.768
Mo C S Hf
8 6 6 4
direct
0.195 0.032 0.087
0.968 0.805 0.413
0.696 0.866 0.589
0.805 0.968 0.913
0.866 0.696 0.089
0.134 0.304 0.911
0.304 0.134 0.411
0.032 0.195 0.587
0.500 0.000 0.000
0.000 0.500 0.500
0.333 0.834 0.500
0.667 0.166 0.500
0.834 0.333 0.000
0.166 0.667 0.000
0.937 0.063 0.250
0.417 0.229 0.749
0.771 0.583 0.751
0.229 0.417 0.249
0.583 0.771 0.251
0.063 0.937 0.750
0.632 0.466 0.394
0.534 0.368 0.106
0.466 0.632 0.894
0.368 0.534 0.606
```

Results
* ρ: 8.86 g/cm3
* VASP energy: -9.173 eV/atom
* space group: C2/c, No. 15


(10)
Computed, not measured: crystalline ScZn2Co at its relaxed geometry at the PBE-GGA level of DFT.

```
ScZn2Co
1.0
0.000 3.086 3.086
3.086 0.000 3.086
3.086 3.086 0.000
Sc Zn Co
1 2 1
direct
0.500 0.500 0.500
0.000 0.000 0.000
0.750 0.750 0.750
0.250 0.250 0.250
```

Results
* ρ: 6.63 g/cm3
* formation energy: -0.18 eV/atom
* space group: F-43m, No. 216


(11)
Computed, not measured: crystalline NaTbGd at its relaxed geometry at the PBE-GGA level of DFT.

```
NaTbGd
1.0
0.000 3.769 3.769
3.769 0.000 3.769
3.769 3.769 0.000
Gd Tb Na
1 1 1
direct
0.250 0.250 0.250
0.750 0.750 0.750
0.000 0.000 0.000
```

Results
* ρ: 5.26 g/cm3
* VASP energy: -2.717 eV/atom
* space group: F-43m, No. 216


(12)
Computed, not measured: crystalline SmY2Si4Au4 at its relaxed geometry at the PBE-GGA level of DFT.

```
SmY2Si4Au4
1.0
-2.086 2.120 12.575
2.086 -2.120 12.575
2.086 2.120 -12.575
Si Au Sm Y
4 4 1 2
direct
0.547 0.547 0.000
0.810 0.310 0.500
0.453 0.453 0.000
0.190 0.690 0.500
0.749 0.749 0.000
0.251 0.251 0.000
0.905 0.405 0.500
0.095 0.595 0.500
0.000 0.000 0.000
0.648 0.148 0.500
0.352 0.852 0.500
```

Results
* ρ: 9.17 g/cm3
* VASP energy: -5.490 eV/atom
* space group: Immm, No. 71


(13)
Computed, not measured: crystalline ZrTlFeRe at its relaxed geometry at the PBE-GGA level of DFT.

```
ZrTlFeRe
1.0
0.000 3.255 3.255
3.255 0.000 3.255
3.255 3.255 0.000
Re Fe Zr Tl
1 1 1 1
direct
0.250 0.250 0.250
0.750 0.750 0.750
0.500 0.500 0.500
0.000 0.000 0.000
```

Results
* ρ: 12.94 g/cm3
* energy above the most stable polymorph in this dataset: 0.0 meV/atom
* space group: F-43m, No. 216


(14)
Computed, not measured: crystalline YHfTlFe at its relaxed geometry at the PBE-GGA level of DFT.

```
YHfTlFe
1.0
0.000 3.413 3.413
3.413 0.000 3.413
3.413 3.413 0.000
Tl Fe Hf Y
1 1 1 1
direct
0.000 0.000 0.000
0.750 0.750 0.750
0.500 0.500 0.500
0.250 0.250 0.250
```

Results
* ρ: 11.02 g/cm3
* energy above the most stable polymorph in this dataset: 0.0 meV/atom
* space group: F-43m, No. 216


(15)
Computed, not measured: crystalline AgPdPt2F11 at its relaxed geometry at the PBE-GGA level of DFT.

```
AgPdPt2F11
1.0
4.284 -3.379 0.000
4.284 3.379 0.000
-3.118 0.000 6.943
F Pd Pt Ag
11 1 2 1
direct
0.264 0.868 0.343
0.277 0.277 0.149
0.673 0.327 0.000
0.868 0.264 0.343
0.500 0.500 0.500
0.228 0.228 0.720
0.327 0.673 0.000
0.723 0.723 0.851
0.772 0.772 0.280
0.736 0.132 0.657
0.132 0.736 0.657
0.000 0.000 0.500
0.474 0.474 0.759
0.526 0.526 0.241
0.000 0.000 0.000
```

Results
* ρ: 6.72 g/cm3
* VASP energy: -3.767 eV/atom
* space group: C2/m, No. 12


(16)
Computed, not measured: crystalline SbMo at its relaxed geometry at the PBE-GGA level of DFT.

```
SbMo
1.0
-4.957 -1.598 0.859
0.472 -3.157 -3.151
2.380 -4.673 5.039
Mo Sb
4 4
direct
0.750 0.000 0.353
0.500 0.500 0.500
0.250 0.000 0.647
0.000 0.500 0.500
0.750 0.000 0.737
0.250 0.000 0.263
0.250 0.500 0.878
0.750 0.500 0.122
```

Results
* ρ: 8.40 g/cm3
* VASP energy: -7.299 eV/atom
* space group: Pmma, No. 51


(17)
Computed, not measured: crystalline KSrLuS3 at its relaxed geometry at the PBE-GGA level of DFT.

```
KSrLuS3
1.0
7.134 0.000 0.000
0.000 4.024 0.000
-2.187 0.000 11.005
Sr S Lu K
2 6 2 2
direct
0.880 0.250 0.327
0.120 0.750 0.673
0.779 0.750 0.481
0.523 0.750 0.128
0.221 0.250 0.519
0.477 0.250 0.872
0.047 0.750 0.134
0.953 0.250 0.866
0.267 0.250 0.043
0.733 0.750 0.957
0.629 0.250 0.633
0.371 0.750 0.367
```

Results
* ρ: 4.18 g/cm3
* VASP energy: -5.014 eV/atom
* space group: P2_1/m, No. 11


(18)
Computed, not measured: crystalline YHo2Fe2Co6Ni at its relaxed geometry at the PBE-GGA level of DFT.

```
YHo2Fe2Co6Ni
1.0
2.492 1.439 8.022
-2.492 1.439 8.022
0.000 -2.878 8.022
Y Ho Co Ni Fe
1 2 6 1 2
direct
0.000 0.000 0.000
0.860 0.860 0.860
0.140 0.140 0.140
0.920 0.418 0.418
0.418 0.920 0.418
0.582 0.582 0.080
0.582 0.080 0.582
0.418 0.418 0.920
0.080 0.582 0.582
0.500 0.500 0.500
0.334 0.334 0.334
0.666 0.666 0.666
```

Results
* ρ: 9.07 g/cm3
* formation energy: -0.20 eV/atom
* space group: R-3m, No. 166


(19)
Computed, not measured: crystalline GdIBr2 at its relaxed geometry at the PBE-GGA level of DFT.

```
GdIBr2
1.0
-4.400 -2.200 -5.578
2.191 -4.714 5.319
-4.714 3.743 3.715
Br I Gd
4 2 2
direct
0.427 0.067 0.761
0.573 0.933 0.239
0.933 0.573 0.239
0.067 0.427 0.761
0.238 0.238 0.269
0.762 0.762 0.731
0.830 0.170 0.000
0.170 0.830 0.000
```

Results
* ρ: 4.67 g/cm3
* VASP energy: -4.108 eV/atom
* space group: C2/m, No. 12


(20)
Computed, not measured: crystalline LiHfCoSi at its relaxed geometry at the PBE-GGA level of DFT.

```
LiHfCoSi
1.0
0.000 2.961 2.961
2.961 0.000 2.961
2.961 2.961 0.000
Si Hf Co Li
1 1 1 1
direct
0.000 0.000 0.000
0.500 0.500 0.500
0.750 0.750 0.750
0.250 0.250 0.250
```

Results
* ρ: 8.71 g/cm3
* energy above the most stable polymorph in this dataset: 0.0 meV/atom
* space group: F-43m, No. 216